Here is a relaxed Si2NiPb crystal from Alexandria. Energies are from GGA-PBE.

Geometry as extended XYZ:
```
4
Lattice="-1.372 1.961 4.406 -3.694 -3.361 0.447 5.009 -0.210 -0.105" Properties=species:S:1:pos:R:3 pbc="T T T"
Si -4.680 -1.294 4.485
Si 0.657 0.554 3.263
Ni -2.897 -0.801 2.776
Pb -0.735 -2.170 1.505
```

Calculated values
Density of states at the Fermi level   0.481 states/eV/atom
E   -18.72 eV for the cell shown
Volume   80.6 Å³/cell
ΔE_f (raw)   0.40 eV per atom

Here is a relaxed SiNiPb4 crystal from Alexandria. Energies are from GGA-PBE.

Geometry as extended XYZ:
```
6
Lattice="-4.308 -4.440 -1.204 -1.615 -4.122 4.485 -5.696 0.327 2.678" Properties=species:S:1:pos:R:3 pbc="T T T"
Pb -6.511 -5.309 1.632
Pb -7.205 -2.924 3.574
Pb -4.356 -3.088 2.234
Pb -5.164 -5.150 4.478
Ni 0.000 0.000 0.000
Si -8.714 -6.177 4.469
```

Calculated values
Density of states at the Fermi level   0.598 states/eV/atom
E   -20.72 eV for the cell shown
Volume   177.0 Å³/cell
ΔE_f (raw)   0.89 eV per atom

Here is a relaxed SiNiPb3 crystal from Alexandria. Energies are from GGA-PBE.

Geometry as extended XYZ:
```
5
Lattice="-4.827 -2.271 -0.071 0.030 -0.232 5.330 -2.272 4.821 0.222" Properties=species:S:1:pos:R:3 pbc="T T T"
Pb -1.136 2.411 0.111
Pb 0.015 -0.116 2.665
Pb -2.413 -1.136 -0.036
Ni -3.534 1.159 2.740
Si 0.000 0.000 0.000
```

Calculated values
Density of states at the Fermi level   0.985 states/eV/atom
E   -17.44 eV for the cell shown
Volume   151.8 Å³/cell
ΔE to the lowest computed polymorph   50.8 kJ per mole of atoms
ΔE_f (raw)   0.98 eV per atom

Here is a relaxed Si2NiPb crystal from Alexandria. Energies are from GGA-PBE.

Geometry as extended XYZ:
```
4
Lattice="5.809 -0.002 0.006 -3.434 4.685 0.006 1.194 2.354 2.628" Properties=species:S:1:pos:R:3 pbc="T T T"
Si 1.187 2.341 0.006
Si 0.000 0.000 0.000
Ni 3.501 1.176 1.317
Pb -1.120 3.520 1.317
```

Calculated values
Density of states at the Fermi level   0.278 states/eV/atom
E   -18.57 eV for the cell shown
Volume   71.3 Å³/cell
ΔE_f (raw)   0.44 eV per atom

Here is a relaxed SiNiPb3 crystal from Alexandria. Energies are from GGA-PBE.

Geometry as extended XYZ:
```
5
Lattice="5.118 0.000 0.000 0.000 5.118 0.000 0.000 0.000 5.118" Properties=species:S:1:pos:R:3 pbc="T T T"
Pb 0.000 2.559 0.000
Pb 0.000 0.000 2.559
Pb 2.559 0.000 0.000
Si 2.559 2.559 2.559
Ni 0.000 0.000 0.000
```

Calculated values
Density of states at the Fermi level   0.369 states/eV/atom
E   -20.07 eV for the cell shown
Volume   134.0 Å³/cell
ΔE to the lowest computed polymorph   0.0 kJ per mole of atoms
ΔE_f (raw)   0.45 eV per atom

Here is a relaxed Si4NiPb crystal from Alexandria. Energies are from GGA-PBE.

Geometry as extended XYZ:
```
6
Lattice="-4.903 -0.821 -1.713 -3.799 3.449 1.151 -2.011 3.055 -3.778" Properties=species:S:1:pos:R:3 pbc="T T T"
Si -6.455 1.735 -2.480
Si -5.910 3.843 -1.066
Si -4.034 2.140 -1.634
Si -5.027 3.648 -3.500
Pb 0.000 0.000 0.000
Ni -8.035 4.262 -3.255
```

Calculated values
Density of states at the Fermi level   0.562 states/eV/atom
E   -27.49 eV for the cell shown
Volume   102.8 Å³/cell
ΔE_f (raw)   0.61 eV per atom

Here is a relaxed Si2NiPb crystal from Alexandria. Energies are from GGA-PBE.

Geometry as extended XYZ:
```
8
Lattice="-2.617 3.787 -0.508 -1.651 -0.565 4.289 3.473 5.849 4.607" Properties=species:S:1:pos:R:3 pbc="T T T"
Pb 0.000 0.000 0.000
Pb -0.638 5.623 2.995
Ni -2.134 1.611 1.891
Ni -0.155 3.447 5.394
Si -0.888 7.288 6.138
Si -0.591 3.206 1.445
Si 0.764 5.512 5.499
Si -0.872 2.135 3.695
```

Calculated values
Density of states at the Fermi level   0.342 states/eV/atom
E   -39.37 eV for the cell shown
Volume   161.6 Å³/cell
ΔE_f (raw)   0.16 eV per atom

Here is a relaxed Si2NiPb crystal from Alexandria. Energies are from GGA-PBE.

Geometry as extended XYZ:
```
4
Lattice="3.990 0.000 0.000 0.000 4.592 -0.081 0.000 1.387 4.056" Properties=species:S:1:pos:R:3 pbc="T T T"
Ni 1.995 1.495 0.994
Si 0.000 0.535 0.229
Si 0.000 2.455 1.758
Pb 1.995 4.484 2.981
```

Calculated values
Density of states at the Fermi level   0.307 states/eV/atom
E   -19.87 eV for the cell shown
Volume   74.8 Å³/cell
ΔE_f (raw)   0.12 eV per atom

Here is a relaxed Si2NiTePb crystal from Alexandria. Energies are from GGA-PBE.

Geometry as extended XYZ:
```
5
Lattice="-2.346 2.374 3.861 -5.311 -1.394 -2.370 -0.041 -4.358 2.655" Properties=species:S:1:pos:R:3 pbc="T T T"
Ni -3.849 -1.689 2.073
Si -0.021 -2.179 1.328
Si -1.173 1.187 1.930
Te 0.000 0.000 0.000
Pb -2.655 -0.697 -1.185
```

Calculated values
Density of states at the Fermi level   1.167 states/eV/atom
E   -15.75 eV for the cell shown
Volume   155.7 Å³/cell
ΔE_f (raw)   1.55 eV per atom

Here is a relaxed Sm2NiPb crystal from Alexandria. Energies are from GGA-PBE.

Geometry as extended XYZ:
```
4
Lattice="3.522 0.000 0.000 0.000 3.522 0.000 0.000 0.000 8.130" Properties=species:S:1:pos:R:3 pbc="T T T"
Sm 0.000 0.000 6.462
Sm 0.000 0.000 1.668
Pb 1.761 1.761 4.065
Ni 1.761 1.761 0.000
```

Calculated values
Density of states at the Fermi level   0.995 states/eV/atom
E   -20.43 eV for the cell shown
Volume   100.8 Å³/cell
ΔH_f (0 K)   -376 meV per atom

Here is a relaxed Sm3Ni2Pb4 crystal from Alexandria. Energies are from GGA-PBE.

Geometry as extended XYZ:
```
9
Lattice="-2.091 -4.019 -0.052 3.312 -4.236 -3.207 5.913 -5.698 5.169" Properties=species:S:1:pos:R:3 pbc="T T T"
Pb 4.199 -4.772 2.543
Pb 2.935 -9.181 -0.633
Pb 6.183 -10.910 2.416
Pb 0.951 -3.042 -0.507
Sm 5.192 -7.831 1.682
Sm 0.000 0.000 0.000
Sm 1.941 -6.121 0.228
Ni 1.857 -3.547 2.082
Ni 5.276 -10.405 -0.172
```

Calculated values
Density of states at the Fermi level   0.604 states/eV/atom
E   -44.20 eV for the cell shown
Volume   228.7 Å³/cell
ΔH_f (0 K)   -405 meV per atom

Here is a relaxed Sm5Ni2Pb5 crystal from Alexandria. Energies are from GGA-PBE.

Geometry as extended XYZ:
```
12
Lattice="-0.175 -3.458 2.828 -0.464 -7.009 -5.065 8.562 -2.697 0.767" Properties=species:S:1:pos:R:3 pbc="T T T"
Ni 6.014 -8.696 0.340
Ni 1.908 -4.467 -1.810
Sm 5.295 -10.812 -2.292
Sm 3.961 -6.582 -0.735
Sm 0.275 -7.099 -1.597
Sm 7.648 -6.064 0.126
Sm 2.627 -2.351 0.821
Pb 6.473 -7.893 -2.183
Pb 2.509 -9.585 -0.964
Pb 0.000 0.000 0.000
Pb 1.449 -5.270 0.712
Pb 5.414 -3.578 -0.506
```

Calculated values
Density of states at the Fermi level   0.450 states/eV/atom
E   -59.04 eV for the cell shown
Volume   325.3 Å³/cell
ΔH_f (0 K)   -445 meV per atom

no.,total magnetization (μB/cell),calculated density (g cm⁻³)
1,0.00,6.63
2,0.00,8.59
3,0.00,7.75
4,0.00,7.50
5,0.00,8.78
6,0.00,6.11
7,0.00,6.62
8,0.00,7.15
9,0.81,4.79
10,0.00,9.33
11,0.00,10.15
12,0.00,9.73